Record 1
## YSi2Rh2 (PBE-GGA)

Data for YSi2Rh2 after structural relaxation.

a b c (Å): 4.183 4.183 5.730
angles (deg): 68.59 68.59 90.00
Positions (direct):
Y (0.000, 0.000, 0.000)
Si (0.750, 0.250, 0.500)
Si (0.250, 0.750, 0.500)
Rh (0.366, 0.366, 0.267)
Rh (0.634, 0.634, 0.733)

Symmetry = I4/mmm, No. 139
Uncorrected formation energy = -0.89 eV per atom
Crystal system = tetragonal


Record 2
## NiIr2Br (PBE-GGA)

Data for NiIr2Br after structural relaxation.

a b c (Å): 2.807 2.807 9.456
angles (deg): 90.00 90.00 121.14
Last column: magnetic moment on the atom in μB.
Positions (direct):
Br (0.500, 0.500, 0.715)  0.01
Ir (0.000, 0.000, 0.029)  -0.02
Ir (0.500, 0.500, 0.267)  0.00
Ni (0.000, 0.000, 0.489)  0.11

Symmetry = Cmm2, No. 35
Uncorrected formation energy = 0.69 eV per atom
Energy above the most stable polymorph in this dataset = 0.2204 eV per atom
Crystal system = orthorhombic


Record 3
## PmTmCoI (PBE-GGA)

Data for PmTmCoI after structural relaxation.

a b c (Å): 3.966 3.965 8.264
angles (deg): 89.99 103.88 119.99
Positions (direct):
Pm (0.517, 0.157, 0.690)
Tm (0.089, 0.943, 0.047)
Co (0.308, 0.552, 0.875)
I (0.963, 0.380, 0.358)

Symmetry = R3m, No. 160
Uncorrected formation energy = -0.56 eV per atom
Crystal system = trigonal


Record 4
## Ce2InTe4 (PBE-GGA)

Data for Ce2InTe4 after structural relaxation.

a b c (Å): 8.317 8.317 8.317
angles (deg): 109.70 109.01 109.70
Last column: magnetic moment on the atom in μB.
Positions (direct):
Te (0.141, 0.909, 0.388)  -0.04
Te (0.612, 0.753, 0.521)  -0.04
Te (0.982, 0.591, 0.729)  -0.04
Te (0.271, 0.253, 0.862)  -0.04
Te (0.609, 0.747, 0.018)  -0.04
Te (0.768, 0.247, 0.859)  -0.04
Te (0.479, 0.091, 0.232)  -0.04
Te (0.138, 0.409, 0.391)  -0.04
Ce (0.875, 0.116, 0.491)  0.65
Ce (0.509, 0.384, 0.625)  0.65
Ce (0.375, 0.884, 0.759)  0.65
Ce (0.241, 0.616, 0.125)  0.65
In (0.000, 0.000, 0.000)  -0.02
In (0.750, 0.500, 0.250)  -0.02

Symmetry = I-42d, No. 122
Uncorrected formation energy = -1.03 eV per atom
Energy above the most stable polymorph in this dataset = 0.0000 eV per atom
Crystal system = tetragonal


Record 5
## Zn2HgC (PBE-GGA)

Data for Zn2HgC after structural relaxation.

a b c (Å): 4.420 4.420 4.420
angles (deg): 60.00 60.00 60.00
Positions (direct):
C (0.000, 0.000, 0.000)
Zn (0.250, 0.250, 0.250)
Zn (0.750, 0.750, 0.750)
Hg (0.500, 0.500, 0.500)

Symmetry = Fm-3m, No. 225
Energy above the most stable polymorph in this dataset = 0.8356 eV per atom
Crystal system = cubic


Record 6
## InSb2Au3 (PBE-GGA)

Data for InSb2Au3 after structural relaxation.

a b c (Å): 4.002 4.002 9.366
angles (deg): 102.33 102.33 90.04
Positions (direct):
In (0.434, 0.436, 0.874)
Sb (0.090, 0.091, 0.186)
Sb (0.778, 0.780, 0.562)
Au (0.934, 0.936, 0.874)
Au (0.260, 0.261, 0.525)
Au (0.609, 0.610, 0.223)

Symmetry = I4/mmm, No. 139
Uncorrected formation energy = -0.10 eV per atom
Energy above the most stable polymorph in this dataset = 0.0000 eV per atom
Crystal system = tetragonal


Magnetic moment across the listed records, respectively: 0.0 0.1 0.0 1.0 0.0 0.0 μB/f.u..